# 1
A relaxed structure of BeMoAu, computed with PBE.

Properties
The energy above the lowest structure with this stoichiometry is 0.0 meV per atom. Its space group is No. 216. The total energy comes out at -5.4738 eV/atom. The volume is 15.19 A^3/atom.

Lattice parameters (Å, degrees): 4.009 4.009 4.009 60.00 60.00 60.00
Sites, in units of the cell vectors:
Au 0.250 0.250 0.250
Mo 0.750 0.750 0.750
Be 0.000 0.000 0.000

***

# 2
A relaxed structure of CsAlCu, computed with PBE.

Properties
The energy above the lowest structure with this stoichiometry is 0.0 meV per atom. Its space group is No. 216. The total energy comes out at -1.9538 eV/atom. The volume is 35.13 A^3/atom.

Lattice parameters (Å, degrees): 5.302 5.302 5.302 60.00 60.00 60.00
Sites, in units of the cell vectors:
Cs 0.750 0.750 0.750
Cu 0.000 0.000 0.000
Al 0.250 0.250 0.250